Record 1
# Ho2In2PdPt3 | the Open Quantum Materials Database | PBE | relaxed
# Energy ... -45.532 eV/cell
# Calculated density ... 12.70 Mg/m³
# Volume ... 164 Å³ per cell
data_Ho2In2PdPt3
_cell_length_a 4.5856
_cell_length_b 4.5856
_cell_length_c 8.9858
_cell_angle_alpha 90.00
_cell_angle_beta 90.00
_cell_angle_gamma 120.00
_space_group_name_H-M_alt 'P 3 m 1'
_space_group_IT_number 156
_space_group_name_Hall 'P 3 -2"'
loop_
_atom_site_label
_atom_site_type_symbol
_atom_site_fract_x
_atom_site_fract_y
_atom_site_fract_z
Ho1 Ho 0.0000 0.0000 0.0000
Ho2 Ho 0.3333 0.6667 0.5054
In1 In 0.6667 0.3333 0.2550
In2 In 0.6667 0.3333 0.7545
Pd1 Pd 0.3333 0.6667 0.1651
Pt1 Pt 0.0000 0.0000 0.3418
Pt2 Pt 0.0000 0.0000 0.6602
Pt3 Pt 0.3333 0.6667 0.8483

=====

Record 2
# Ho2In2Pd3Pt | the Open Quantum Materials Database | PBE | relaxed
# Energy ... -43.182 eV/cell
# Calculated density ... 10.96 Mg/m³
# Volume ... 163 Å³ per cell
data_Ho2In2Pd3Pt
_cell_length_a 4.5890
_cell_length_b 4.5890
_cell_length_c 8.9170
_cell_angle_alpha 90.00
_cell_angle_beta 90.00
_cell_angle_gamma 120.00
_space_group_name_H-M_alt 'P 3 m 1'
_space_group_IT_number 156
_space_group_name_Hall 'P 3 -2"'
loop_
_atom_site_label
_atom_site_type_symbol
_atom_site_fract_x
_atom_site_fract_y
_atom_site_fract_z
Ho1 Ho 0.0000 0.0000 0.0000
Ho2 Ho 0.3333 0.6667 0.5060
In1 In 0.6667 0.3333 0.2551
In2 In 0.6667 0.3333 0.7551
Pd1 Pd 0.0000 0.0000 0.3406
Pd2 Pd 0.0000 0.0000 0.6623
Pd3 Pd 0.3333 0.6667 0.1683
Pt1 Pt 0.3333 0.6667 0.8442

=====

Record 3
# Ho3InSn2PdPt2 | the Open Quantum Materials Database | PBE | relaxed
# Energy ... -101.985 eV/cell
# Calculated density ... 11.45 Mg/m³
# Volume ... 390 Å³ per cell
data_Ho3InSn2PdPt2
_cell_length_a 3.8147
_cell_length_b 13.3420
_cell_length_c 7.6547
_cell_angle_alpha 90.00
_cell_angle_beta 90.00
_cell_angle_gamma 90.00
_space_group_name_H-M_alt 'A m m 2'
_space_group_IT_number 38
_space_group_name_Hall 'A 2 -2'
loop_
_atom_site_label
_atom_site_type_symbol
_atom_site_fract_x
_atom_site_fract_y
_atom_site_fract_z
Ho1 Ho 0.0000 0.0000 0.0000
Ho2 Ho 0.0000 0.2022 0.3832
In1 In 0.5000 0.0000 0.3279
Sn1 Sn 0.5000 0.1313 0.7186
Pd1 Pd 0.0000 0.0000 0.5956
Pt1 Pt 0.5000 0.1669 0.0882

=====

Record 4
# Ho2TmIn3PdPt2 | the Open Quantum Materials Database | PBE | relaxed
# Energy ... -95.527 eV/cell
# Calculated density ... 11.44 Mg/m³
# Volume ... 389 Å³ per cell
data_Ho2TmIn3PdPt2
_cell_length_a 3.7886
_cell_length_b 13.3197
_cell_length_c 7.7075
_cell_angle_alpha 90.00
_cell_angle_beta 90.00
_cell_angle_gamma 90.00
_space_group_name_H-M_alt 'A m m 2'
_space_group_IT_number 38
_space_group_name_Hall 'A 2 -2'
loop_
_atom_site_label
_atom_site_type_symbol
_atom_site_fract_x
_atom_site_fract_y
_atom_site_fract_z
Ho1 Ho 0.0000 0.2044 0.0000
Tm1 Tm 0.0000 0.0000 0.3867
In1 In 0.5000 0.0000 0.0562
In2 In 0.5000 0.1298 0.6651
Pd1 Pd 0.0000 0.0000 0.7948
Pt1 Pt 0.5000 0.1658 0.2960

=====

Record 5
# Y2HoIn3PdPt2 | the Open Quantum Materials Database | PBE | relaxed
# Energy ... -103.315 eV/cell
# Calculated density ... 9.95 Mg/m³
# Volume ... 395 Å³ per cell
data_Y2HoIn3PdPt2
_cell_length_a 3.8280
_cell_length_b 13.3468
_cell_length_c 7.7301
_cell_angle_alpha 90.00
_cell_angle_beta 90.00
_cell_angle_gamma 90.00
_space_group_name_H-M_alt 'A m m 2'
_space_group_IT_number 38
_space_group_name_Hall 'A 2 -2'
loop_
_atom_site_label
_atom_site_type_symbol
_atom_site_fract_x
_atom_site_fract_y
_atom_site_fract_z
Y1 Y 0.0000 0.2049 0.0000
Ho1 Ho 0.0000 0.0000 0.3845
In1 In 0.5000 0.0000 0.0521
In2 In 0.5000 0.1299 0.6663
Pd1 Pd 0.0000 0.0000 0.7926
Pt1 Pt 0.5000 0.1645 0.2963

=====

Record 6
# Ho4InSi4Pd2 | the Open Quantum Materials Database | PBE | relaxed
# Energy ... -125.477 eV/cell
# Calculated density ... 8.35 Mg/m³
# Volume ... 437 Å³ per cell
data_Ho4InSi4Pd2
_cell_length_a 15.5535
_cell_length_b 4.2026
_cell_length_c 7.0325
_cell_angle_alpha 90.00
_cell_angle_beta 107.99
_cell_angle_gamma 90.00
_space_group_name_H-M_alt 'C 1 2/m 1'
_space_group_IT_number 12
_space_group_name_Hall '-C 2y'
loop_
_atom_site_label
_atom_site_type_symbol
_atom_site_fract_x
_atom_site_fract_y
_atom_site_fract_z
Ho1 Ho 0.0842 0.0000 0.3782
Ho2 Ho 0.1557 0.0000 0.9246
In1 In 0.0000 0.5000 0.0000
Si1 Si 0.0615 0.5000 0.6524
Si2 Si 0.1941 0.5000 0.2459
Pd1 Pd 0.2188 0.5000 0.6317

=====

Record 7
# Ho2InSnPd4 | the Open Quantum Materials Database | PBE | relaxed
# Energy ... -43.453 eV/cell
# Calculated density ... 10.14 Mg/m³
# Volume ... 162 Å³ per cell
data_Ho2InSnPd4
_cell_length_a 4.5829
_cell_length_b 4.5829
_cell_length_c 8.9050
_cell_angle_alpha 90.00
_cell_angle_beta 90.00
_cell_angle_gamma 120.00
_space_group_name_H-M_alt 'P -3 m 1'
_space_group_IT_number 164
_space_group_name_Hall '-P 3 2"'
loop_
_atom_site_label
_atom_site_type_symbol
_atom_site_fract_x
_atom_site_fract_y
_atom_site_fract_z
Ho1 Ho 0.3333 0.6667 0.2502
In1 In 0.0000 0.0000 0.5000
Sn1 Sn 0.0000 0.0000 0.0000
Pd1 Pd 0.3333 0.6667 0.5864
Pd2 Pd 0.3333 0.6667 0.9127

=====

Record 8
# SrHoIn4Pd2 | the Open Quantum Materials Database | PBE | relaxed
# Energy ... -64.701 eV/cell
# Calculated density ... 8.18 Mg/m³
# Volume ... 375 Å³ per cell
data_SrHoIn4Pd2
_cell_length_a 7.8634
_cell_length_b 4.5110
_cell_length_c 10.5797
_cell_angle_alpha 90.00
_cell_angle_beta 90.00
_cell_angle_gamma 90.00
_space_group_name_H-M_alt 'A m m 2'
_space_group_IT_number 38
_space_group_name_Hall 'A 2 -2'
loop_
_atom_site_label
_atom_site_type_symbol
_atom_site_fract_x
_atom_site_fract_y
_atom_site_fract_z
Sr1 Sr 0.0000 0.0000 0.0000
Ho1 Ho 0.5000 0.0000 0.8634
In1 In 0.2039 0.0000 0.2904
In2 In 0.3066 0.0000 0.5753
Pd1 Pd 0.0000 0.0000 0.7162
Pd2 Pd 0.5000 0.0000 0.1465

=====

Record 9
# Tb2HoIn3Pd3 | the Open Quantum Materials Database | PBE | relaxed
# Energy ... -89.922 eV/cell
# Calculated density ... 9.62 Mg/m³
# Volume ... 396 Å³ per cell
data_Tb2HoIn3Pd3
_cell_length_a 3.8530
_cell_length_b 13.3227
_cell_length_c 7.7090
_cell_angle_alpha 90.00
_cell_angle_beta 90.00
_cell_angle_gamma 90.00
_space_group_name_H-M_alt 'A m m 2'
_space_group_IT_number 38
_space_group_name_Hall 'A 2 -2'
loop_
_atom_site_label
_atom_site_type_symbol
_atom_site_fract_x
_atom_site_fract_y
_atom_site_fract_z
Tb1 Tb 0.0000 0.2042 0.0000
Ho1 Ho 0.0000 0.0000 0.3879
In1 In 0.5000 0.0000 0.0553
In2 In 0.5000 0.1291 0.6662
Pd1 Pd 0.0000 0.0000 0.7954
Pd2 Pd 0.5000 0.1658 0.2964

=====

Record 10
# HoTmIn2Pd4 | the Open Quantum Materials Database | PBE | relaxed
# Energy ... -41.841 eV/cell
# Calculated density ... 10.20 Mg/m³
# Volume ... 161 Å³ per cell
data_HoTmIn2Pd4
_cell_length_a 4.5861
_cell_length_b 4.5861
_cell_length_c 8.8447
_cell_angle_alpha 90.00
_cell_angle_beta 90.00
_cell_angle_gamma 120.00
_space_group_name_H-M_alt 'P -6 m 2'
_space_group_IT_number 187
_space_group_name_Hall 'P -6 2'
loop_
_atom_site_label
_atom_site_type_symbol
_atom_site_fract_x
_atom_site_fract_y
_atom_site_fract_z
Ho1 Ho 0.0000 0.0000 0.0000
Tm1 Tm 0.6667 0.3333 0.5000
In1 In 0.3333 0.6667 0.2512
Pd1 Pd 0.0000 0.0000 0.3389
Pd2 Pd 0.6667 0.3333 0.1635

=====

Record 11
# Ho2TmIn3Pd3 | the Open Quantum Materials Database | PBE | relaxed
# Energy ... -89.464 eV/cell
# Calculated density ... 9.94 Mg/m³
# Volume ... 389 Å³ per cell
data_Ho2TmIn3Pd3
_cell_length_a 3.7918
_cell_length_b 13.3121
_cell_length_c 7.6983
_cell_angle_alpha 90.00
_cell_angle_beta 90.00
_cell_angle_gamma 90.00
_space_group_name_H-M_alt 'A m m 2'
_space_group_IT_number 38
_space_group_name_Hall 'A 2 -2'
loop_
_atom_site_label
_atom_site_type_symbol
_atom_site_fract_x
_atom_site_fract_y
_atom_site_fract_z
Ho1 Ho 0.0000 0.2038 0.0000
Tm1 Tm 0.0000 0.0000 0.3889
In1 In 0.5000 0.0000 0.0583
In2 In 0.5000 0.1306 0.6649
Pd1 Pd 0.0000 0.0000 0.7956
Pd2 Pd 0.5000 0.1657 0.2967

=====

Record 12
# HoTm2In3Pd3 | the Open Quantum Materials Database | PBE | relaxed
# Energy ... -89.227 eV/cell
# Calculated density ... 10.02 Mg/m³
# Volume ... 387 Å³ per cell
data_HoTm2In3Pd3
_cell_length_a 3.7784
_cell_length_b 13.3262
_cell_length_c 7.6806
_cell_angle_alpha 90.00
_cell_angle_beta 90.00
_cell_angle_gamma 90.00
_space_group_name_H-M_alt 'A m m 2'
_space_group_IT_number 38
_space_group_name_Hall 'A 2 -2'
loop_
_atom_site_label
_atom_site_type_symbol
_atom_site_fract_x
_atom_site_fract_y
_atom_site_fract_z
Ho1 Ho 0.0000 0.0000 0.0000
Tm1 Tm 0.0000 0.2035 0.6108
In1 In 0.5000 0.0000 0.6693
In2 In 0.5000 0.1314 0.2765
Pd1 Pd 0.0000 0.0000 0.4078
Pd2 Pd 0.5000 0.1676 0.9068

=====

Record 13
# YHo2In3Pd3 | the Open Quantum Materials Database | PBE | relaxed
# Energy ... -93.533 eV/cell
# Calculated density ... 9.14 Mg/m³
# Volume ... 393 Å³ per cell
data_YHo2In3Pd3
_cell_length_a 3.8273
_cell_length_b 13.3673
_cell_length_c 7.6905
_cell_angle_alpha 90.00
_cell_angle_beta 90.00
_cell_angle_gamma 90.00
_space_group_name_H-M_alt 'A m m 2'
_space_group_IT_number 38
_space_group_name_Hall 'A 2 -2'
loop_
_atom_site_label
_atom_site_type_symbol
_atom_site_fract_x
_atom_site_fract_y
_atom_site_fract_z
Y1 Y 0.0000 0.0000 0.0000
Ho1 Ho 0.0000 0.2042 0.3880
In1 In 0.5000 0.0000 0.3310
In2 In 0.5000 0.1292 0.7222
Pd1 Pd 0.0000 0.0000 0.5893
Pd2 Pd 0.5000 0.1686 0.0931

=====

Record 14
# PrHoIn2 | the Open Quantum Materials Database | PBE | relaxed
# Energy ... -16.744 eV/cell
# Calculated density ... 8.01 Mg/m³
# Volume ... 111 Å³ per cell
data_PrHoIn2
_cell_length_a 3.8139
_cell_length_b 3.8139
_cell_length_c 7.6332
_cell_angle_alpha 90.00
_cell_angle_beta 90.00
_cell_angle_gamma 90.00
_space_group_name_H-M_alt 'P 4/m m m'
_space_group_IT_number 123
_space_group_name_Hall '-P 4 2'
loop_
_atom_site_label
_atom_site_type_symbol
_atom_site_fract_x
_atom_site_fract_y
_atom_site_fract_z
Pr1 Pr 0.0000 0.0000 0.0000
Ho1 Ho 0.0000 0.0000 0.5000
In1 In 0.5000 0.5000 0.2662

=====

Record 15
# PrHoIn | the Open Quantum Materials Database | PBE | relaxed
# Energy ... -49.473 eV/cell
# Calculated density ... 6.77 Mg/m³
# Volume ... 413 Å³ per cell
data_PrHoIn
_cell_length_a 7.4469
_cell_length_b 7.4469
_cell_length_c 7.4469
_cell_angle_alpha 90.00
_cell_angle_beta 90.00
_cell_angle_gamma 90.00
_space_group_name_H-M_alt 'F -4 3 m'
_space_group_IT_number 216
_space_group_name_Hall 'F -4 2 3'
loop_
_atom_site_label
_atom_site_type_symbol
_atom_site_fract_x
_atom_site_fract_y
_atom_site_fract_z
Pr1 Pr 0.0000 0.0000 0.0000
Ho1 Ho 0.0000 0.0000 0.5000
In1 In 0.2500 0.2500 0.7500

=====

Record 16
# PrHoZn2In2 | the Open Quantum Materials Database | PBE | relaxed
# Energy ... -20.174 eV/cell
# Calculated density ... 7.76 Mg/m³
# Volume ... 143 Å³ per cell
data_PrHoZn2In2
_cell_length_a 4.7074
_cell_length_b 4.7074
_cell_length_c 7.4328
_cell_angle_alpha 90.00
_cell_angle_beta 90.00
_cell_angle_gamma 120.00
_space_group_name_H-M_alt 'P 3 m 1'
_space_group_IT_number 156
_space_group_name_Hall 'P 3 -2"'
loop_
_atom_site_label
_atom_site_type_symbol
_atom_site_fract_x
_atom_site_fract_y
_atom_site_fract_z
Pr1 Pr 0.0000 0.0000 0.0000
Ho1 Ho 0.0000 0.0000 0.5008
Zn1 Zn 0.3333 0.6667 0.2100
Zn2 Zn 0.6667 0.3333 0.6900
In1 In 0.3333 0.6667 0.7642
In2 In 0.6667 0.3333 0.2853

=====

Record 17
# Ho12InPt7 | the Open Quantum Materials Database | PBE | relaxed
# Energy ... -482.566 eV/cell
# Calculated density ... 11.98 Mg/m³
# Volume ... 1918 Å³ per cell
data_Ho12InPt7
_cell_length_a 11.5206
_cell_length_b 11.5206
_cell_length_c 14.4487
_cell_angle_alpha 90.00
_cell_angle_beta 90.00
_cell_angle_gamma 90.00
_space_group_name_H-M_alt 'I 4/m c m'
_space_group_IT_number 140
_space_group_name_Hall '-I 4 2c'
loop_
_atom_site_label
_atom_site_type_symbol
_atom_site_fract_x
_atom_site_fract_y
_atom_site_fract_z
Ho1 Ho 0.0000 0.5000 0.1338
Ho2 Ho 0.0733 0.2071 0.1450
Ho3 Ho 0.1768 0.3232 0.5000
In1 In 0.0000 0.0000 0.0000
Pt1 Pt 0.0000 0.0000 0.2500
Pt2 Pt 0.1278 0.3722 0.0000
Pt3 Pt 0.1714 0.3286 0.3075

=====

Record 18
# Ho2ScIn3Pt2 | the Open Quantum Materials Database | PBE | relaxed
# Energy ... -85.453 eV/cell
# Calculated density ... 10.28 Mg/m³
# Volume ... 358 Å³ per cell
data_Ho2ScIn3Pt2
_cell_length_a 3.5354
_cell_length_b 13.2936
_cell_length_c 7.6227
_cell_angle_alpha 90.00
_cell_angle_beta 90.00
_cell_angle_gamma 90.00
_space_group_name_H-M_alt 'A m m 2'
_space_group_IT_number 38
_space_group_name_Hall 'A 2 -2'
loop_
_atom_site_label
_atom_site_type_symbol
_atom_site_fract_x
_atom_site_fract_y
_atom_site_fract_z
Ho1 Ho 0.0000 0.2105 0.0000
Sc1 Sc 0.0000 0.0000 0.6334
In1 In 0.5000 0.0000 0.9732
In2 In 0.5000 0.1134 0.3290
Pt1 Pt 0.5000 0.1610 0.7075

=====

Record 19
# HoInSiPt2 | the Open Quantum Materials Database | PBE | relaxed
# Energy ... -59.178 eV/cell
# Calculated density ... 11.97 Mg/m³
# Volume ... 194 Å³ per cell
data_HoInSiPt2
_cell_length_a 4.2153
_cell_length_b 4.2153
_cell_length_c 10.9001
_cell_angle_alpha 90.00
_cell_angle_beta 90.00
_cell_angle_gamma 90.00
_space_group_name_H-M_alt 'P 4/n m m'
_space_group_IT_number 129
loop_
_space_group_symop_operation_xyz
'x,y,z'
'-x,-y,-z'
'-y+1/2,x,z'
'y+1/2,-x,-z'
'-x+1/2,-y+1/2,z'
'x+1/2,y+1/2,-z'
'y,-x+1/2,z'
'-y,x+1/2,-z'
'x+1/2,-y,-z'
'-x+1/2,y,z'
'-y,-x,-z'
'y,x,z'
'-x,y+1/2,-z'
'x,-y+1/2,z'
'y+1/2,x+1/2,-z'
'-y+1/2,-x+1/2,z'
loop_
_atom_site_label
_atom_site_type_symbol
_atom_site_fract_x
_atom_site_fract_y
_atom_site_fract_z
Ho1 Ho 0.2500 0.2500 0.2324
In1 In 0.2500 0.7500 0.5000
Si1 Si 0.2500 0.2500 0.8819
Pt1 Pt 0.2500 0.2500 0.6701
Pt2 Pt 0.2500 0.7500 0.0000

=====

Record 20
# SmHoIn2Pt4 | the Open Quantum Materials Database | PBE | relaxed
# Energy ... -46.617 eV/cell
# Calculated density ... 13.22 Mg/m³
# Volume ... 166 Å³ per cell
data_SmHoIn2Pt4
_cell_length_a 4.5971
_cell_length_b 4.5971
_cell_length_c 9.0923
_cell_angle_alpha 90.00
_cell_angle_beta 90.00
_cell_angle_gamma 120.00
_space_group_name_H-M_alt 'P -6 m 2'
_space_group_IT_number 187
_space_group_name_Hall 'P -6 2'
loop_
_atom_site_label
_atom_site_type_symbol
_atom_site_fract_x
_atom_site_fract_y
_atom_site_fract_z
Sm1 Sm 0.0000 0.0000 0.0000
Ho1 Ho 0.3333 0.6667 0.5000
In1 In 0.6667 0.3333 0.2531
Pt1 Pt 0.0000 0.0000 0.3439
Pt2 Pt 0.3333 0.6667 0.1627